A plane-wave DFT calculation with PBE-GGA was carried out for a relaxed structure of Li2CrTe.

Lattice parameters (Å, degrees): 6.6061 6.6061 6.6061 90.00 90.00 90.00
With the nearest neighbours (Å) after each atom.
Positions (direct):
Li (0.0000, 0.0000, 0.0000)  4 Li 2.86, 4 Te 2.86
Li (0.0000, 0.5000, 0.5000)  4 Li 2.86, 4 Te 2.86
Li (0.2500, 0.2500, 0.2500)  4 Cr 2.86, 4 Li 2.86
Li (0.2500, 0.7500, 0.7500)  4 Cr 2.86, 4 Li 2.86
Li (0.5000, 0.0000, 0.5000)  4 Li 2.86, 4 Te 2.86
Li (0.5000, 0.5000, 0.0000)  4 Li 2.86, 4 Te 2.86
Li (0.7500, 0.2500, 0.7500)  4 Cr 2.86, 4 Li 2.86
Li (0.7500, 0.7500, 0.2500)  4 Cr 2.86, 4 Li 2.86
Cr (0.0000, 0.0000, 0.5000)  4 Te 2.86, 4 Li 2.86
Cr (0.0000, 0.5000, 0.0000)  4 Te 2.86, 4 Li 2.86
Cr (0.5000, 0.0000, 0.0000)  4 Te 2.86, 4 Li 2.86
Cr (0.5000, 0.5000, 0.5000)  4 Te 2.86, 4 Li 2.86
Te (0.2500, 0.2500, 0.7500)  4 Cr 2.86, 4 Li 2.86
Te (0.2500, 0.7500, 0.2500)  4 Cr 2.86, 4 Li 2.86
Te (0.7500, 0.2500, 0.2500)  4 Cr 2.86, 4 Li 2.86
Te (0.7500, 0.7500, 0.7500)  4 Cr 2.86, 4 Li 2.86

Final energy: -4.24 eV per atom
M_tot: 16.8 μB per cell
Formation energy from raw total energies: -36 kJ/mol of formula units
Space-group type: F-43m, No. 216

A plane-wave DFT calculation with PBE-GGA was carried out for a relaxed structure of Y2Cd.

Lattice parameters (Å, degrees): 9.9344 9.9344 9.9344 60.00 60.00 60.00
With the nearest neighbours (Å) after each atom.
Positions (direct):
Y (0.0000, 0.0000, 0.0000)  6 Cd 3.10
Y (0.0000, 0.0000, 0.5000)  6 Cd 3.10
Y (0.0000, 0.5000, 0.0000)  6 Cd 3.10
Y (0.1900, 0.1900, 0.5600)  2 Cd 3.20
Y (0.1900, 0.5600, 0.1900)  2 Cd 3.20
Y (0.1900, 0.5600, 0.5600)  2 Cd 3.20
Y (0.4400, 0.4400, 0.8100)  2 Cd 3.20
Y (0.4400, 0.8100, 0.4400)  2 Cd 3.20
Y (0.4400, 0.8100, 0.8100)  2 Cd 3.20
Y (0.5000, 0.0000, 0.0000)  6 Cd 3.10
Y (0.5600, 0.1900, 0.1900)  2 Cd 3.20
Y (0.5600, 0.1900, 0.5600)  2 Cd 3.20
Y (0.5600, 0.5600, 0.1900)  2 Cd 3.20
Y (0.8100, 0.4400, 0.4400)  2 Cd 3.20
Y (0.8100, 0.4400, 0.8100)  2 Cd 3.20
Y (0.8100, 0.8100, 0.4400)  2 Cd 3.20
Cd (0.1439, 0.7854, 0.7854)  6 Y 3.10-3.20
Cd (0.2146, 0.2146, 0.2146)  6 Y 3.10-3.20
Cd (0.2146, 0.2146, 0.8561)  6 Y 3.10-3.20
Cd (0.2146, 0.8561, 0.2146)  6 Y 3.10-3.20
Cd (0.7854, 0.1439, 0.7854)  6 Y 3.10-3.20
Cd (0.7854, 0.7854, 0.1439)  6 Y 3.10-3.20
Cd (0.7854, 0.7854, 0.7854)  6 Y 3.10-3.20
Cd (0.8561, 0.2146, 0.2146)  6 Y 3.10-3.20

Final energy: -4.83 eV per atom
M_tot: 0.0 μB per cell
Space-group type: Fd-3m, No. 227

A plane-wave DFT calculation with PBE-GGA was carried out for a relaxed structure of Ce2RuCl.

Lattice parameters (Å, degrees): 3.9866 3.9866 22.2994 90.00 90.00 120.00
With the nearest neighbours (Å) after each atom.
Positions (direct):
Ce (0.0000, 0.0000, 0.2357)  3 Ru 2.77
Ce (0.0000, 0.0000, 0.7643)  3 Ru 2.77
Ce (0.3333, 0.6667, 0.4310)  3 Ru 2.77
Ce (0.3333, 0.6667, 0.9023)  3 Ru 2.77
Ce (0.6667, 0.3333, 0.0977)  3 Ru 2.77
Ce (0.6667, 0.3333, 0.5690)  3 Ru 2.77
Ru (0.0000, 0.0000, 0.5000)  6 Ce 2.77
Ru (0.3333, 0.6667, 0.1667)  6 Ce 2.77
Ru (0.6667, 0.3333, 0.8333)  6 Ce 2.77
Cl (0.0000, 0.0000, 0.0000)  6 Ce 3.17
Cl (0.3333, 0.6667, 0.6667)  6 Ce 3.17
Cl (0.6667, 0.3333, 0.3333)  6 Ce 3.17

Final energy: -6.66 eV per atom
M_tot: 4.1 μB per cell
Formation energy from raw total energies: -352 kJ/mol of formula units
Energy above the most stable polymorph in this dataset: 0 meV per atom
Space-group type: R-3m, No. 166

A plane-wave DFT calculation with PBE-GGA was carried out for a relaxed structure of YIn2Cl.

Lattice parameters (Å, degrees): 3.5780 3.5780 28.7402 90.00 90.00 120.00
With the nearest neighbours (Å) after each atom.
Positions (direct):
Y (0.0000, 0.0000, 0.0000)  6 In 3.28, 6 Y 3.58
Y (0.3333, 0.6667, 0.6667)  6 In 3.28, 6 Y 3.58
Y (0.6667, 0.3333, 0.3333)  6 In 3.28, 6 Y 3.58
In (0.0000, 0.0000, 0.2448)  3 Cl 3.05, 3 Y 3.28
In (0.0000, 0.0000, 0.7552)  3 Cl 3.05, 3 Y 3.28
In (0.3333, 0.6667, 0.4219)  3 Cl 3.05, 3 Y 3.28
In (0.3333, 0.6667, 0.9115)  3 Cl 3.05, 3 Y 3.28
In (0.6667, 0.3333, 0.0885)  3 Cl 3.05, 3 Y 3.28
In (0.6667, 0.3333, 0.5781)  3 Cl 3.05, 3 Y 3.28
Cl (0.0000, 0.0000, 0.5000)  6 In 3.05
Cl (0.3333, 0.6667, 0.1667)  6 In 3.05
Cl (0.6667, 0.3333, 0.8333)  6 In 3.05

Final energy: -3.83 eV per atom
M_tot: 0.0 μB per cell
Formation energy from raw total energies: -148 kJ/mol of formula units
Energy above the most stable polymorph in this dataset: 347 meV per atom
Space-group type: R-3m, No. 166